# 1
Crystalline Cu2AsPdPt at its relaxed geometry. Source: the Alexandria database, functional PBE.

The structure in CIF format:
```
data_Cu2AsPdPt
_chemical_formula_sum 'Cu2 As1 Pd1 Pt1'
_cell_length_a 4.768
_cell_length_b 4.768
_cell_length_c 4.529
_cell_angle_alpha 90.00
_cell_angle_beta 90.00
_cell_angle_gamma 90.00
_symmetry_space_group_name_H-M 'P 4/m m m'
_symmetry_Int_Tables_number 123
_symmetry_space_group_name_Hall '-P 4 2'
loop_
_atom_site_label
_atom_site_type_symbol
_atom_site_fract_x
_atom_site_fract_y
_atom_site_fract_z
Cu1 Cu 0.000 0.500 0.000
As1 As 0.000 0.000 0.500
Pd1 Pd 0.500 0.500 0.500
Pt1 Pt 0.000 0.000 0.000
```

Calculated values
V: 103 Å³ per cell
Total moment: 0.0 μB per formula unit
Crystal system: tetragonal
Total energy: -20.97 eV for the cell shown


# 2
Crystalline PuCuAs2Pd at its relaxed geometry. Source: the Alexandria database, functional PBE.

The structure in CIF format:
```
data_PuCuAs2Pd
_chemical_formula_sum 'Pu4 Cu4 As8 Pd4'
_cell_length_a 5.607
_cell_length_b 12.915
_cell_length_c 5.244
_cell_angle_alpha 90.00
_cell_angle_beta 90.00
_cell_angle_gamma 90.00
_symmetry_space_group_name_H-M 'C m m e'
_symmetry_Int_Tables_number 67
_symmetry_space_group_name_Hall '-C 2a 2'
loop_
_atom_site_label
_atom_site_type_symbol
_atom_site_fract_x
_atom_site_fract_y
_atom_site_fract_z
Pu1 Pu 0.000 0.250 0.241
Cu1 Cu 0.000 0.000 0.000
As1 As 0.000 0.143 0.726
Pd1 Pd 0.250 0.000 0.500
```

Calculated values
V: 380 Å³ per cell
Total moment: 5.1 μB per formula unit
Crystal system: orthorhombic
Total energy: -139.68 eV for the cell shown


# 3
Crystalline CuAsPdRu at its relaxed geometry. Source: the Alexandria database, functional PBE.

The structure in CIF format:
```
data_CuAsPdRu
_chemical_formula_sum 'Cu4 As4 Pd4 Ru4'
_cell_length_a 6.086
_cell_length_b 6.086
_cell_length_c 6.086
_cell_angle_alpha 90.00
_cell_angle_beta 90.00
_cell_angle_gamma 90.00
_symmetry_space_group_name_H-M 'F -4 3 m'
_symmetry_Int_Tables_number 216
_symmetry_space_group_name_Hall 'F -4 2 3'
loop_
_atom_site_label
_atom_site_type_symbol
_atom_site_fract_x
_atom_site_fract_y
_atom_site_fract_z
Cu1 Cu 0.000 0.000 0.000
As1 As 0.000 0.000 0.500
Pd1 Pd 0.250 0.250 0.750
Ru1 Ru 0.250 0.250 0.250
```

Calculated values
V: 225 Å³ per cell
Total moment: 0.0 μB per formula unit
Crystal system: cubic
Total energy: -93.31 eV for the cell shown


# 4
Crystalline CuAs2PdRu at its relaxed geometry. Source: the Alexandria database, functional PBE.

The structure in CIF format:
```
data_CuAs2PdRu
_chemical_formula_sum 'Cu1 As2 Pd1 Ru1'
_cell_length_a 4.527
_cell_length_b 4.527
_cell_length_c 4.670
_cell_angle_alpha 90.00
_cell_angle_beta 90.00
_cell_angle_gamma 90.00
_symmetry_space_group_name_H-M 'P 4/m m m'
_symmetry_Int_Tables_number 123
_symmetry_space_group_name_Hall '-P 4 2'
loop_
_atom_site_label
_atom_site_type_symbol
_atom_site_fract_x
_atom_site_fract_y
_atom_site_fract_z
Cu1 Cu 0.000 0.000 0.000
As1 As 0.000 0.500 0.000
Pd1 Pd 0.500 0.500 0.500
Ru1 Ru 0.000 0.000 0.500
```

Calculated values
V: 96 Å³ per cell
Total moment: 2.3 μB per formula unit
Crystal system: tetragonal
Total energy: -22.86 eV for the cell shown


# 5
Crystalline Cu2AsPdS4 at its relaxed geometry. Source: the Alexandria database, functional PBE.

The structure in CIF format:
```
data_Cu2AsPdS4
_chemical_formula_sum 'Cu4 As2 Pd2 S8'
_cell_length_a 5.475
_cell_length_b 5.475
_cell_length_c 10.330
_cell_angle_alpha 90.00
_cell_angle_beta 90.00
_cell_angle_gamma 90.00
_symmetry_space_group_name_H-M 'I -4 2 m'
_symmetry_Int_Tables_number 121
_symmetry_space_group_name_Hall 'I -4 2'
loop_
_atom_site_label
_atom_site_type_symbol
_atom_site_fract_x
_atom_site_fract_y
_atom_site_fract_z
Cu1 Cu 0.000 0.500 0.250
As1 As 0.000 0.000 0.000
Pd1 Pd 0.000 0.000 0.500
S1 S 0.245 0.245 0.129
```

Calculated values
V: 310 Å³ per cell
Total moment: 0.0 μB per formula unit
Crystal system: tetragonal
E_form (uncorrected): -1.1 eV per formula unit
Total energy: -71.34 eV for the cell shown


# 6
Crystalline CuAs2PdSe at its relaxed geometry. Source: the Alexandria database, functional PBE.

The structure in CIF format:
```
data_CuAs2PdSe
_chemical_formula_sum 'Cu1 As2 Pd1 Se1'
_cell_length_a 4.650
_cell_length_b 4.650
_cell_length_c 4.785
_cell_angle_alpha 90.00
_cell_angle_beta 90.00
_cell_angle_gamma 90.00
_symmetry_space_group_name_H-M 'P 4/m m m'
_symmetry_Int_Tables_number 123
_symmetry_space_group_name_Hall '-P 4 2'
loop_
_atom_site_label
_atom_site_type_symbol
_atom_site_fract_x
_atom_site_fract_y
_atom_site_fract_z
Cu1 Cu 0.000 0.000 0.000
As1 As 0.000 0.500 0.000
Pd1 Pd 0.500 0.500 0.500
Se1 Se 0.000 0.000 0.500
```

Calculated values
V: 103 Å³ per cell
Total moment: 0.0 μB per formula unit
Energy relative to the lowest polymorph listed for this composition: 0 meV per atom
Crystal system: tetragonal
E_form (uncorrected): 3.2 eV per formula unit
Total energy: -18.87 eV for the cell shown